Ho5HfCu4: optimized geometry, GGA-PBE.

Cell lengths 3.4128, 3.4128, 18.5715 Å; angles 90.00, 90.00, 90.00 degrees
Last column: nearest neighbours and their distance in Å.
Fractional positions:
Cu  0.0000  0.0000  0.2184  8 Ho 2.97-2.99
Cu  0.0000  0.0000  0.4065  8 Ho 2.97-2.99
Cu  0.0000  0.0000  0.5935  8 Ho 2.97-2.99
Cu  0.0000  0.0000  0.7816  8 Ho 2.97-2.99
Ho  0.5000  0.5000  0.3115  8 Cu 2.97-2.99
Ho  0.5000  0.5000  0.6885  8 Cu 2.97-2.99
Ho  0.5000  0.5000  0.5000  8 Cu 2.97
Ho  0.5000  0.5000  0.8770  4 Cu 2.99, 4 Hf 3.32
Ho  0.5000  0.5000  0.1230  4 Cu 2.99, 4 Hf 3.32
Hf  0.0000  0.0000  0.0000  8 Ho 3.32, 4 Hf 3.41

Output
DOS at the Fermi energy, states/eV/f.u.: 6.3
Energy of formation, eV/atom: -0.179
SG: P4/mmm (123)